[1]
A relaxed Cr2NiCl crystal, computed with PBE.

a = 6.434 Å, b = 6.434 Å, c = 5.583 Å
α = 54.81°, β = 54.81°, γ = 90.00°
Sites, in units of the cell vectors:
Ni (0.750, 0.250, 0.500)
Ni (0.000, 0.000, 0.000)
Cl (0.250, 0.750, 0.500)
Cl (0.500, 0.500, 0.000)
Cr (0.631, 0.125, 0.250)
Cr (0.375, 0.369, 0.750)
Cr (0.875, 0.881, 0.750)
Cr (0.119, 0.625, 0.250)

- DOS(E_F) (states/eV per atom) = 0.854
- SG = No. 122
- raw formation energy (eV/atom) = 0.709
- M_tot (μB per formula unit) = 7.08


[2]
A relaxed CrNiCl crystal, computed with PBE.

a = 4.169 Å, b = 4.169 Å, c = 4.169 Å
α = 60.00°, β = 60.00°, γ = 60.00°
Sites, in units of the cell vectors:
Cl (0.000, 0.000, 0.000)
Ni (0.750, 0.750, 0.750)
Cr (0.500, 0.500, 0.500)

- DOS(E_F) (states/eV per atom) = 2.316
- SG = No. 216
- raw formation energy (eV/atom) = 0.705
- M_tot (μB per formula unit) = 4.56


[3]
A relaxed Cr2Ni2Cl crystal, computed with PBE.

a = 5.835 Å, b = 5.835 Å, c = 3.749 Å
α = 90.00°, β = 90.00°, γ = 90.00°
Sites, in units of the cell vectors:
Ni (0.356, 0.144, 0.500)
Ni (0.856, 0.356, 0.500)
Ni (0.144, 0.644, 0.500)
Ni (0.644, 0.856, 0.500)
Cr (0.138, 0.362, 0.000)
Cr (0.862, 0.638, 0.000)
Cr (0.362, 0.862, 0.000)
Cr (0.638, 0.138, 0.000)
Cl (0.500, 0.500, 0.000)
Cl (0.000, 0.000, 0.000)

- DOS(E_F) (states/eV per atom) = 1.260
- SG = No. 127
- raw formation energy (eV/atom) = 0.512
- M_tot (μB per formula unit) = 0.03


[4]
A relaxed Cr2NiCl crystal, computed with PBE.

a = 3.073 Å, b = 3.073 Å, c = 7.589 Å
α = 78.33°, β = 78.33°, γ = 59.97°
Sites, in units of the cell vectors:
Cr (0.004, 0.004, 0.986)
Cr (0.496, 0.496, 0.514)
Cl (0.250, 0.250, 0.250)
Ni (0.750, 0.750, 0.750)

- DOS(E_F) (states/eV per atom) = 1.123
- SG = No. 166
- raw formation energy (eV/atom) = 0.372
- M_tot (μB per formula unit) = 7.36


[5]
A relaxed Cr2NiCl crystal, computed with PBE.

a = 2.778 Å, b = 2.779 Å, c = 6.269 Å
α = 90.00°, β = 90.00°, γ = 90.00°
Sites, in units of the cell vectors:
Ni (0.500, 0.500, 0.250)
Cl (0.500, 0.500, 0.750)
Cr (0.000, 0.000, 0.001)
Cr (0.000, 0.000, 0.499)

- DOS(E_F) (states/eV per atom) = 1.234
- SG = No. 123
- raw formation energy (eV/atom) = 0.502
- M_tot (μB per formula unit) = 2.06


[6]
A relaxed Cr2NiCl crystal, computed with PBE.

a = 4.360 Å, b = 4.360 Å, c = 4.360 Å
α = 60.00°, β = 60.00°, γ = 60.00°
Sites, in units of the cell vectors:
Cr (0.000, 0.000, 0.000)
Cr (0.250, 0.250, 0.250)
Ni (0.750, 0.750, 0.750)
Cl (0.500, 0.500, 0.500)

- DOS(E_F) (states/eV per atom) = 1.029
- SG = No. 216
- raw formation energy (eV/atom) = 0.735
- M_tot (μB per formula unit) = 0.34


[7]
A relaxed Cr4NiCl crystal, computed with PBE.

a = 4.790 Å, b = 4.790 Å, c = 4.790 Å
α = 60.00°, β = 60.00°, γ = 60.00°
Sites, in units of the cell vectors:
Cr (0.377, 0.377, 0.870)
Cr (0.377, 0.377, 0.377)
Cr (0.870, 0.377, 0.377)
Cr (0.377, 0.870, 0.377)
Ni (0.750, 0.750, 0.750)
Cl (0.000, 0.000, 0.000)

- DOS(E_F) (states/eV per atom) = 1.133
- SG = No. 216
- raw formation energy (eV/atom) = 0.842
- M_tot (μB per formula unit) = 0.00


[8]
A relaxed Cr2NiCl crystal, computed with PBE.

a = 4.979 Å, b = 4.979 Å, c = 4.979 Å
α = 147.51°, β = 131.99°, γ = 59.17°
Sites, in units of the cell vectors:
Cr (0.024, 0.024, 0.000)
Cr (0.476, 0.476, 0.000)
Ni (0.750, 0.250, 0.500)
Cl (0.250, 0.750, 0.500)

- DOS(E_F) (states/eV per atom) = 1.286
- SG = No. 71
- raw formation energy (eV/atom) = 0.689
- M_tot (μB per formula unit) = 0.00


[9]
A relaxed Cr2NiCl2 crystal, computed with PBE.

a = 3.984 Å, b = 3.984 Å, c = 5.457 Å
α = 68.59°, β = 68.59°, γ = 90.00°
Sites, in units of the cell vectors:
Cr (0.750, 0.250, 0.500)
Cr (0.250, 0.750, 0.500)
Cl (0.641, 0.641, 0.717)
Cl (0.359, 0.359, 0.283)
Ni (0.000, 0.000, 0.000)

- DOS(E_F) (states/eV per atom) = 1.019
- SG = No. 139
- raw formation energy (eV/atom) = 0.672
- M_tot (μB per formula unit) = 2.14


[10]
A relaxed Cr2NiCl crystal, computed with PBE.

a = 4.871 Å, b = 4.871 Å, c = 4.189 Å
α = 89.67°, β = 89.67°, γ = 35.74°
Sites, in units of the cell vectors:
Ni (0.466, 0.466, 0.544)
Cr (0.731, 0.731, 0.725)
Cr (0.028, 0.028, 0.008)
Cl (0.275, 0.275, 0.223)

- DOS(E_F) (states/eV per atom) = 0.837
- SG = No. 8
- raw formation energy (eV/atom) = 0.406
- M_tot (μB per formula unit) = 0.08


[11]
A relaxed Cr2NiCl crystal, computed with PBE.

a = 3.043 Å, b = 3.043 Å, c = 6.309 Å
α = 90.00°, β = 90.00°, γ = 90.00°
Sites, in units of the cell vectors:
Cr (0.500, 0.500, 0.264)
Cr (0.000, 0.000, 0.037)
Cl (0.500, 0.500, 0.745)
Ni (0.000, 0.000, 0.455)

- DOS(E_F) (states/eV per atom) = 0.910
- SG = No. 99
- raw formation energy (eV/atom) = 0.291
- M_tot (μB per formula unit) = 0.55


[12]
A relaxed Cr2NiCl crystal, computed with PBE.

a = 2.959 Å, b = 3.276 Å, c = 6.197 Å
α = 89.96°, β = 90.00°, γ = 90.00°
Sites, in units of the cell vectors:
Ni (0.500, 0.250, 0.250)
Cr (0.000, 0.750, 0.421)
Cr (0.000, 0.750, 0.079)
Cl (0.500, 0.750, 0.750)

- DOS(E_F) (states/eV per atom) = 1.025
- SG = No. 47
- raw formation energy (eV/atom) = 0.354
- M_tot (μB per formula unit) = 1.34


[13]
A relaxed CrNiCl crystal, computed with PBE.

a = 4.142 Å, b = 4.142 Å, c = 4.142 Å
α = 60.00°, β = 60.00°, γ = 60.00°
Sites, in units of the cell vectors:
Cl (0.500, 0.500, 0.500)
Cr (0.750, 0.750, 0.750)
Ni (0.000, 0.000, 0.000)

- DOS(E_F) (states/eV per atom) = 2.146
- SG = No. 216
- raw formation energy (eV/atom) = 0.632
- M_tot (μB per formula unit) = 3.04


[14]
A relaxed Cr2NiCl crystal, computed with PBE.

a = 4.071 Å, b = 4.071 Å, c = 4.071 Å
α = 60.00°, β = 60.00°, γ = 60.00°
Sites, in units of the cell vectors:
Cr (0.750, 0.750, 0.750)
Cr (0.250, 0.250, 0.250)
Ni (0.500, 0.500, 0.500)
Cl (0.000, 0.000, 0.000)

- DOS(E_F) (states/eV per atom) = 1.465
- SG = No. 225
- raw formation energy (eV/atom) = 0.745
- M_tot (μB per formula unit) = 0.00